Ni2SnSb2: relaxed, GGA-PBE.

Unit cell a=4.0241 b=4.9646 c=10.5897 alpha=110.96 beta=90.00 gamma=90.00
Sites, in units of the cell vectors:
Sn 0.2500 0.7834 0.2169
Sn 0.7500 0.2166 0.7831
Sb 0.7500 0.2317 0.4634
Sb 0.7500 0.2414 0.1246
Sb 0.2500 0.7683 0.5366
Sb 0.2500 0.7586 0.8754
Ni 0.7500 0.6482 0.3638
Ni 0.7500 0.6744 0.0199
Ni 0.2500 0.3518 0.6362
Ni 0.2500 0.3256 0.9801

Properties
As for the space group: P2_1/m, No. 11. The value obtained for the uncorrected formation energy is -125 meV per atom. The crystal system is monoclinic. The calculation puts the offset from the most stable computed form at 0 meV per atom. The raw total energy comes out at -4.8875 eV/atom.

***

Ni2SnSb2: relaxed, GGA-PBE.

Unit cell a=4.5545 b=4.5545 c=5.9811 alpha=67.62 beta=67.62 gamma=90.00
Sites, in units of the cell vectors:
Ni 0.6219 0.6219 0.7561
Ni 0.3781 0.3781 0.2439
Sb 0.7500 0.2500 0.5000
Sb 0.2500 0.7500 0.5000
Sn 0.0000 0.0000 0.0000

Properties
As for the space group: I4/mmm, No. 139. The value obtained for the uncorrected formation energy is 159 meV per atom. The crystal system is tetragonal. The calculation puts the offset from the most stable computed form at 284 meV per atom. The raw total energy comes out at -4.6030 eV/atom.

***

Ni2Sn2Sb: relaxed, GGA-PBE.

Unit cell a=8.0003 b=8.0003 c=3.0499 alpha=90.00 beta=90.00 gamma=90.00
Sites, in units of the cell vectors:
Sn 0.1567 0.3433 0.0000
Sn 0.3433 0.8433 0.0000
Sn 0.8433 0.6567 0.0000
Sn 0.6567 0.1567 0.0000
Sb 0.0000 0.0000 0.0000
Sb 0.5000 0.5000 0.0000
Ni 0.3776 0.1224 0.5000
Ni 0.1224 0.6224 0.5000
Ni 0.8776 0.3776 0.5000
Ni 0.6224 0.8776 0.5000

Properties
As for the space group: P4/mbm, No. 127. The value obtained for the uncorrected formation energy is 195 meV per atom. The crystal system is tetragonal. The calculation puts the offset from the most stable computed form at 323 meV per atom. The raw total energy comes out at -4.5436 eV/atom.

***

NiSn3Sb: relaxed, GGA-PBE.

Unit cell a=6.8435 b=6.8435 c=6.9458 alpha=104.40 beta=121.99 gamma=102.12
Sites, in units of the cell vectors:
Sn 0.8237 0.0452 0.2721
Sn 0.2737 0.5423 0.8160
Sn 0.7731 0.5516 0.7279
Sn 0.1763 0.9548 0.7279
Sn 0.2269 0.4484 0.2721
Sn 0.7263 0.4577 0.1840
Sb 0.2749 0.9539 0.2287
Sb 0.7251 0.0461 0.7713
Ni 0.6074 0.7557 0.3632
Ni 0.3926 0.2443 0.6368

Properties
As for the space group: C2/m, No. 12. The value obtained for the uncorrected formation energy is -15 meV per atom. The crystal system is monoclinic. The calculation puts the offset from the most stable computed form at 0 meV per atom. The raw total energy comes out at -4.3972 eV/atom.

***

NiSn2Sb: relaxed, GGA-PBE.

Unit cell a=3.3730 b=3.3730 c=9.9151 alpha=80.21 beta=80.21 gamma=60.00
Sites, in units of the cell vectors:
Ni 0.5000 0.5000 0.5000
Sn 0.1069 0.1069 0.6794
Sn 0.8931 0.8931 0.3206
Sb 0.0000 0.0000 0.0000

Properties
As for the space group: R-3m, No. 166. The value obtained for the uncorrected formation energy is 40 meV per atom. The crystal system is trigonal. The raw total energy comes out at -4.4370 eV/atom.

***

Ni4Sn2Sb: relaxed, GGA-PBE.

Unit cell a=4.6471 b=4.6471 c=7.3075 alpha=71.46 beta=71.46 gamma=90.00
Sites, in units of the cell vectors:
Sn 0.3728 0.3728 0.2543
Sn 0.6272 0.6272 0.7457
Ni 0.0000 0.5000 0.0000
Ni 0.1841 0.1841 0.6319
Ni 0.8159 0.8159 0.3681
Ni 0.5000 0.0000 0.0000
Sb 0.0000 0.0000 0.0000

Properties
As for the space group: I4/mmm, No. 139. The value obtained for the uncorrected formation energy is 478 meV per atom. The crystal system is tetragonal. The raw total energy comes out at -4.5581 eV/atom.

***

NiSn2Sb: relaxed, GGA-PBE.

Unit cell a=3.7984 b=5.8605 c=8.3539 alpha=90.00 beta=90.00 gamma=99.07
Sites, in units of the cell vectors:
Sb 0.1564 0.1791 0.7500
Sb 0.8436 0.8209 0.2500
Sn 0.7002 0.2857 0.0595
Sn 0.2998 0.7143 0.5595
Sn 0.7002 0.2857 0.4405
Sn 0.2998 0.7143 0.9405
Ni 0.2709 0.5154 0.2500
Ni 0.7291 0.4846 0.7500

Properties
As for the space group: P2_1/m, No. 11. The value obtained for the uncorrected formation energy is -22 meV per atom. The crystal system is monoclinic. The raw total energy comes out at -4.4995 eV/atom.

***

Ni2SnSb2: relaxed, GGA-PBE.

Unit cell a=7.4629 b=7.4629 c=3.4367 alpha=90.00 beta=90.00 gamma=90.00
Sites, in units of the cell vectors:
Sb 0.6586 0.8414 0.5000
Sb 0.8414 0.3414 0.5000
Sb 0.1586 0.6586 0.5000
Sb 0.3414 0.1586 0.5000
Ni 0.6232 0.1232 0.0000
Ni 0.3768 0.8768 0.0000
Ni 0.1232 0.3768 0.0000
Ni 0.8768 0.6232 0.0000
Sn 0.5000 0.5000 0.0000
Sn 0.0000 0.0000 0.0000

Properties
As for the space group: P4/mbm, No. 127. The value obtained for the uncorrected formation energy is 56 meV per atom. The crystal system is tetragonal. The calculation puts the offset from the most stable computed form at 181 meV per atom. The raw total energy comes out at -4.7061 eV/atom.

***

Ni3SnSb5: relaxed, GGA-PBE.

Unit cell a=3.8645 b=6.4129 c=15.6276 alpha=89.41 beta=90.00 gamma=90.00
Sites, in units of the cell vectors:
Sb 0.5000 0.1409 0.5731
Sb 0.5000 0.1407 0.9041
Sb 0.0000 0.6447 0.9278
Sb 0.5000 0.1438 0.2412
Sb 0.0000 0.3600 0.4079
Sb 0.5000 0.8591 0.4269
Sb 0.5000 0.8593 0.0959
Sb 0.0000 0.6400 0.5921
Sb 0.0000 0.3553 0.0722
Sb 0.5000 0.8562 0.7588
Sn 0.0000 0.3516 0.7402
Sn 0.0000 0.6484 0.2598
Ni 0.0000 0.0060 0.3357
Ni 0.5000 0.5000 0.5000
Ni 0.0000 0.9940 0.6643
Ni 0.5000 0.4956 0.1635
Ni 0.5000 0.5044 0.8365
Ni 0.0000 0.0000 0.0000

Properties
As for the space group: P2/m, No. 10. The value obtained for the uncorrected formation energy is -194 meV per atom. The crystal system is monoclinic. The raw total energy comes out at -4.8563 eV/atom.

***

NiSnSb4: relaxed, GGA-PBE.

Unit cell a=6.6111 b=6.4265 c=8.4545 alpha=112.69 beta=110.57 gamma=90.35
Sites, in units of the cell vectors:
Sn 0.7494 0.1656 0.0022
Sn 0.2506 0.8344 0.9978
Sb 0.6041 0.0937 0.4076
Sb 0.8965 0.6873 0.5924
Sb 0.9559 0.7195 0.1708
Sb 0.3959 0.9063 0.5924
Sb 0.5448 0.5444 0.8270
Sb 0.4552 0.4556 0.1730
Sb 0.0441 0.2805 0.8292
Sb 0.1035 0.3127 0.4076
Ni 0.5000 0.5000 0.5000
Ni 0.0000 0.0000 0.5000

Properties
As for the space group: P-1, No. 2. The value obtained for the uncorrected formation energy is 12 meV per atom. The crystal system is triclinic. The raw total energy comes out at -4.3671 eV/atom.

***

Ni2SnSb2: relaxed, GGA-PBE.

Unit cell a=4.4114 b=4.4114 c=6.2462 alpha=69.32 beta=69.32 gamma=90.00
Sites, in units of the cell vectors:
Ni 0.2500 0.7500 0.5000
Ni 0.7500 0.2500 0.5000
Sn 0.0000 0.0000 0.0000
Sb 0.6363 0.6363 0.7274
Sb 0.3637 0.3637 0.2726

Properties
As for the space group: I4/mmm, No. 139. The value obtained for the uncorrected formation energy is 43 meV per atom. The crystal system is tetragonal. The calculation puts the offset from the most stable computed form at 169 meV per atom. The raw total energy comes out at -4.7188 eV/atom.

***

NiSnSb: relaxed, GGA-PBE.

Unit cell a=5.4606 b=3.6934 c=3.6934 alpha=120.00 beta=90.00 gamma=90.00
Sites, in units of the cell vectors:
Ni 0.9932 0.0000 0.0000
Sb 0.7340 0.6667 0.3333
Sn 0.2728 0.3333 0.6667

Properties
As for the space group: P3m1, No. 156. The value obtained for the uncorrected formation energy is -73 meV per atom. The crystal system is trigonal. The raw total energy comes out at -4.7085 eV/atom.

***

Ni7Sn2Sb2: relaxed, GGA-PBE.

Unit cell a=4.8320 b=6.1994 c=6.1994 alpha=93.52 beta=71.18 gamma=71.18
Sites, in units of the cell vectors:
Ni 0.3230 0.4113 0.9312
Ni 0.5000 0.0000 0.0000
Ni 0.0467 0.7326 0.7326
Ni 0.3230 0.9312 0.4113
Ni 0.6770 0.5887 0.0688
Ni 0.9533 0.2674 0.2674
Ni 0.6770 0.0688 0.5887
Sb 0.3821 0.3538 0.3538
Sb 0.6179 0.6462 0.6462
Sn 0.0000 0.1746 0.8254
Sn 0.0000 0.8254 0.1746

Properties
As for the space group: C2/m, No. 12. The value obtained for the uncorrected formation energy is -105 meV per atom. The crystal system is monoclinic. The raw total energy comes out at -5.2618 eV/atom.

***

Ni7Sn2Sb: relaxed, GGA-PBE.

Unit cell a=3.6822 b=3.6822 c=11.3161 alpha=99.36 beta=99.36 gamma=90.00
Sites, in units of the cell vectors:
Ni 0.2500 0.7500 0.5000
Ni 0.5000 0.5000 0.0000
Ni 0.0838 0.5838 0.1676
Ni 0.9162 0.4162 0.8324
Ni 0.5838 0.0838 0.1676
Ni 0.4162 0.9162 0.8324
Ni 0.7500 0.2500 0.5000
Sn 0.6674 0.6674 0.3348
Sn 0.3326 0.3326 0.6652
Sb 0.0000 0.0000 0.0000

Properties
As for the space group: I4/mmm, No. 139. The value obtained for the uncorrected formation energy is -61 meV per atom. The crystal system is tetragonal. The raw total energy comes out at -5.3212 eV/atom.

***

Ni3SnSb: relaxed, GGA-PBE.

Unit cell a=4.6828 b=4.6828 c=4.6828 alpha=90.00 beta=90.00 gamma=90.00
Sites, in units of the cell vectors:
Ni 0.0000 0.0000 0.5000
Ni 0.0000 0.5000 0.0000
Ni 0.5000 0.0000 0.0000
Sb 0.0000 0.0000 0.0000
Sn 0.5000 0.5000 0.5000

Properties
As for the space group: Pm-3m, No. 221. The value obtained for the uncorrected formation energy is 592 meV per atom. The crystal system is cubic. The calculation puts the offset from the most stable computed form at 0 meV per atom. The raw total energy comes out at -4.5017 eV/atom.

***

Ni3Sn2Sb: relaxed, GGA-PBE.

Unit cell a=5.0950 b=6.4898 c=6.9500 alpha=102.30 beta=111.50 gamma=90.00
Sites, in units of the cell vectors:
Sn 0.7915 0.1334 0.3556
Sn 0.2085 0.8666 0.6444
Sn 0.5641 0.6334 0.3556
Sn 0.4359 0.3666 0.6444
Sb 0.9013 0.7500 0.0000
Sb 0.0987 0.2500 0.0000
Ni 0.7155 0.0187 0.6772
Ni 0.9617 0.5187 0.6772
Ni 0.2845 0.9813 0.3228
Ni 0.0383 0.4813 0.3228
Ni 0.4127 0.7500 0.0000
Ni 0.5873 0.2500 0.0000

Properties
As for the space group: C2/c, No. 15. The value obtained for the uncorrected formation energy is -75 meV per atom. The crystal system is monoclinic. The raw total energy comes out at -4.9872 eV/atom.

***

Ni2Sn2Sb: relaxed, GGA-PBE.

Unit cell a=4.2954 b=4.2954 c=6.3325 alpha=70.17 beta=70.17 gamma=90.00
Sites, in units of the cell vectors:
Ni 0.7500 0.2500 0.5000
Ni 0.2500 0.7500 0.5000
Sb 0.0000 0.0000 0.0000
Sn 0.6281 0.6281 0.7438
Sn 0.3719 0.3719 0.2562

Properties
As for the space group: I4/mmm, No. 139. The value obtained for the uncorrected formation energy is 183 meV per atom. The crystal system is tetragonal. The calculation puts the offset from the most stable computed form at 312 meV per atom. The raw total energy comes out at -4.5547 eV/atom.

***

NiSnSb6: relaxed, GGA-PBE.

Unit cell a=8.3543 b=8.3543 c=8.6474 alpha=108.74 beta=108.69 gamma=109.62
Sites, in units of the cell vectors:
Sb 0.4979 0.8226 0.6251
Sb 0.6231 0.5059 0.8215
Sb 0.3156 0.1984 0.8215
Sb 0.1368 0.6213 0.7581
Sb 0.8421 0.6793 0.5214
Sb 0.5021 0.1774 0.3749
Sb 0.1579 0.3207 0.4786
Sb 0.8632 0.3787 0.2419
Sb 0.8025 0.1272 0.6251
Sb 0.1975 0.8728 0.3749
Sb 0.6844 0.8016 0.1785
Sb 0.3769 0.4941 0.1785
Sn 0.0000 0.5000 0.0000
Sn 0.5000 0.0000 0.0000
Ni 0.5000 0.5000 0.5000
Ni 0.0000 0.0000 0.5000

Properties
As for the space group: C2/m, No. 12. The value obtained for the uncorrected formation energy is 9 meV per atom. The crystal system is monoclinic. The raw total energy comes out at -4.3062 eV/atom.

***

Ni4SnSb2: relaxed, GGA-PBE.

Unit cell a=4.6464 b=4.6464 c=7.3194 alpha=71.49 beta=71.49 gamma=90.00
Sites, in units of the cell vectors:
Sb 0.6265 0.6265 0.7470
Sb 0.3735 0.3735 0.2530
Ni 0.8122 0.8122 0.3755
Ni 0.5000 0.0000 0.0000
Ni 0.1878 0.1878 0.6245
Ni 0.0000 0.5000 0.0000
Sn 0.0000 0.0000 0.0000

Properties
As for the space group: I4/mmm, No. 139. The value obtained for the uncorrected formation energy is 555 meV per atom. The crystal system is tetragonal. The raw total energy comes out at -4.4983 eV/atom.

***

NiSnSb: relaxed, GGA-PBE.

Unit cell a=4.5232 b=4.4882 c=7.7305 alpha=89.99 beta=106.94 gamma=119.75
Sites, in units of the cell vectors:
Sn 0.7499 0.3749 0.1210
Sn 0.2501 0.6251 0.8790
Sb 0.7552 0.8777 0.6316
Sb 0.2448 0.1223 0.3684
Ni 0.4952 0.2476 0.7475
Ni 0.5048 0.7524 0.2525

Properties
As for the space group: C2/m, No. 12. The value obtained for the uncorrected formation energy is -115 meV per atom. The crystal system is monoclinic. The raw total energy comes out at -4.7501 eV/atom.

***

Ni2SnSb3: relaxed, GGA-PBE.

Unit cell a=3.9456 b=5.9068 c=5.9068 alpha=90.81 beta=90.00 gamma=90.00
Sites, in units of the cell vectors:
Ni 0.5000 0.4941 0.5059
Ni 0.0000 0.0005 0.9995
Sb 0.5000 0.1983 0.8017
Sb 0.0000 0.7059 0.6945
Sb 0.0000 0.3055 0.2941
Sn 0.5000 0.7957 0.2043

Properties
As for the space group: Amm2, No. 38. The value obtained for the uncorrected formation energy is -38 meV per atom. The crystal system is orthorhombic. The raw total energy comes out at -4.6934 eV/atom.

***

Ni7SnSb2: relaxed, GGA-PBE.

Unit cell a=3.7153 b=3.7153 c=11.0740 alpha=99.66 beta=99.66 gamma=90.00
Sites, in units of the cell vectors:
Sb 0.6678 0.6678 0.3357
Sb 0.3322 0.3322 0.6643
Ni 0.2500 0.7500 0.5000
Ni 0.4137 0.9137 0.8274
Ni 0.9137 0.4137 0.8274
Ni 0.5000 0.5000 0.0000
Ni 0.0863 0.5863 0.1726
Ni 0.5863 0.0863 0.1726
Ni 0.7500 0.2500 0.5000
Sn 0.0000 0.0000 0.0000

Properties
As for the space group: I4/mmm, No. 139. The value obtained for the uncorrected formation energy is -109 meV per atom. The crystal system is tetragonal. The raw total energy comes out at -5.3810 eV/atom.

***

Ni9Sn2Sb: relaxed, GGA-PBE.

Unit cell a=3.7311 b=3.7311 c=11.1951 alpha=90.00 beta=90.00 gamma=90.00
Sites, in units of the cell vectors:
Sn 0.0000 0.0000 0.3340
Sn 0.0000 0.0000 0.6660
Ni 0.5000 0.5000 0.0000
Ni 0.0000 0.5000 0.8346
Ni 0.5000 0.5000 0.6678
Ni 0.5000 0.0000 0.5000
Ni 0.5000 0.5000 0.3322
Ni 0.5000 0.0000 0.1654
Ni 0.0000 0.5000 0.5000
Ni 0.0000 0.5000 0.1654
Ni 0.5000 0.0000 0.8346
Sb 0.0000 0.0000 0.0000

Properties
As for the space group: P4/mmm, No. 123. The value obtained for the uncorrected formation energy is -177 meV per atom. The crystal system is tetragonal. The raw total energy comes out at -5.5241 eV/atom.

***

| no. | magnetic moment (μB per formula unit) |
| --- | --- |
| 1 | 0.00 |
| 2 | 0.00 |
| 3 | 0.00 |
| 4 | 0.00 |
| 5 | 0.00 |
| 6 | 0.00 |
| 7 | 0.00 |
| 8 | 0.00 |
| 9 | 0.00 |
| 10 | 0.00 |
| 11 | 0.00 |
| 12 | 0.00 |
| 13 | 0.00 |
| 14 | 0.00 |
| 15 | 0.00 |
| 16 | 0.00 |
| 17 | 0.00 |
| 18 | 0.00 |
| 19 | 0.00 |
| 20 | 0.00 |
| 21 | 0.00 |
| 22 | 0.00 |
| 23 | 0.00 |